Run 1
A geometry-optimized TbTm2Tl structure. Source: Alexandria via LeMat-Bulk, functional PBE-GGA.

Values from the calculation:
D(E_F) (states/eV/cell): 4.94
SG: No. 160

Lattice parameters (Å, degrees): 3.556 3.556 11.051 80.75 80.75 60.00
Each line ends with the local moment (μB).
Sites, in units of the cell vectors:
Tb 0.500 0.500 0.500  0.06
Tm 0.079 0.079 0.762  0.05
Tm 0.254 0.254 0.238  0.02
Tl 0.667 0.667 0.000  0.00

Run 2
A geometry-optimized TbTm2Tl structure. Source: Alexandria via LeMat-Bulk, functional PBE-GGA.

Values from the calculation:
D(E_F) (states/eV/cell): 5.57
SG: No. 225

Lattice parameters (Å, degrees): 5.422 5.422 5.422 60.00 60.00 60.00
Each line ends with the local moment (μB).
Sites, in units of the cell vectors:
Tl 0.500 0.500 0.500  0.01
Tm 0.250 0.250 0.250  0.34
Tm 0.750 0.750 0.750  0.34
Tb 0.000 0.000 0.000  0.43

Run 3
A geometry-optimized TbTm2Tl structure. Source: Alexandria via LeMat-Bulk, functional PBE-GGA.

Values from the calculation:
D(E_F) (states/eV/cell): 4.03
SG: No. 123

Lattice parameters (Å, degrees): 3.596 3.596 9.000 90.00 90.00 90.00
Sites, in units of the cell vectors:
Tl 0.500 0.500 0.000
Tm 0.000 0.000 0.771
Tm 0.000 0.000 0.229
Tb 0.500 0.500 0.500

Of them, the most stable is run 3 and the least stable is run 2.

Run 1
A geometry-optimized TbTm3Tl2 structure. Source: Alexandria via LeMat-Bulk, functional PBE-GGA.

Values from the calculation:
D(E_F) (states/eV/cell): 11.40
SG: No. 26

Lattice parameters (Å, degrees): 5.038 6.795 9.863 90.00 90.00 90.00
Sites, in units of the cell vectors:
Tb 0.500 0.548 0.543
Tb 0.500 0.048 0.457
Tm 0.000 0.453 0.956
Tm 0.000 0.953 0.044
Tm 0.500 0.668 0.186
Tm 0.500 0.168 0.814
Tm 0.000 0.331 0.308
Tm 0.000 0.831 0.692
Tl 0.500 0.709 0.868
Tl 0.500 0.209 0.132
Tl 0.000 0.290 0.633
Tl 0.000 0.790 0.367

Run 2
A geometry-optimized TbTm3Tl2 structure. Source: Alexandria via LeMat-Bulk, functional PBE-GGA.

Values from the calculation:
D(E_F) (states/eV/cell): 12.78
SG: No. 12

Lattice parameters (Å, degrees): 5.341 9.127 9.206 124.68 90.00 107.01
Each line ends with the local moment (μB).
Sites, in units of the cell vectors:
Tb 0.869 0.738 0.905  0.01
Tb 0.131 0.262 0.095  0.01
Tm 0.307 0.615 0.604  0.02
Tm 0.942 0.884 0.599  0.11
Tm 0.615 0.231 0.686  0.10
Tm 0.385 0.769 0.314  0.10
Tm 0.058 0.116 0.401  0.11
Tm 0.693 0.385 0.396  0.02
Tl 0.523 0.046 0.870  0.00
Tl 0.477 0.954 0.130  0.00
Tl 0.778 0.556 0.150  0.00
Tl 0.222 0.444 0.850  0.00

Of them, the most stable is run 1 and the least stable is run 2.

Run 1
A geometry-optimized Tb5TmTl2 structure. Source: Alexandria via LeMat-Bulk, functional PBE-GGA.

Values from the calculation:
D(E_F) (states/eV/cell): 23.76
SG: No. 194

Lattice parameters (Å, degrees): 5.407 5.407 20.130 90.00 90.00 120.00
Sites, in units of the cell vectors:
Tb 0.000 0.000 0.336
Tb 0.000 0.000 0.164
Tb 0.667 0.333 0.250
Tb 0.000 0.000 0.836
Tb 0.667 0.333 0.060
Tb 0.333 0.667 0.750
Tb 0.333 0.667 0.940
Tb 0.333 0.667 0.560
Tb 0.667 0.333 0.440
Tb 0.000 0.000 0.664
Tm 0.333 0.667 0.250
Tm 0.667 0.333 0.750
Tl 0.667 0.333 0.597
Tl 0.333 0.667 0.097
Tl 0.333 0.667 0.403
Tl 0.667 0.333 0.903

Run 2
A geometry-optimized Tb5TmTl2 structure. Source: Alexandria via LeMat-Bulk, functional PBE-GGA.

Values from the calculation:
D(E_F) (states/eV/cell): 10.92
SG: No. 71

Lattice parameters (Å, degrees): 3.582 8.452 8.452 77.49 77.77 77.77
Sites, in units of the cell vectors:
Tb 0.000 0.500 0.500
Tb 0.633 0.596 0.137
Tb 0.367 0.404 0.863
Tb 0.367 0.863 0.404
Tb 0.633 0.137 0.596
Tm 0.000 0.000 0.000
Tl 0.738 0.762 0.762
Tl 0.262 0.238 0.238

Of them, the most stable is run 2 and the least stable is run 1.

Run 1
A geometry-optimized Tb3Tm2Tl2 structure. Source: Alexandria via LeMat-Bulk, functional PBE-GGA.

Values from the calculation:
D(E_F) (states/eV/cell): 5.95
SG: No. 12

Lattice parameters (Å, degrees): 5.396 5.391 8.579 108.38 90.00 120.03
Sites, in units of the cell vectors:
Tb 0.500 0.000 0.000
Tb 0.655 0.311 0.466
Tb 0.345 0.689 0.534
Tm 0.926 0.853 0.280
Tm 0.074 0.147 0.720
Tl 0.785 0.570 0.854
Tl 0.215 0.430 0.146

Run 2
A geometry-optimized Tb3Tm2Tl2 structure. Source: Alexandria via LeMat-Bulk, functional PBE-GGA.

Values from the calculation:
D(E_F) (states/eV/cell): 5.94
SG: No. 65

Lattice parameters (Å, degrees): 5.000 3.497 11.913 90.00 77.89 90.00
Each line ends with the local moment (μB).
Sites, in units of the cell vectors:
Tb 0.852 0.000 0.295  0.06
Tb 0.000 0.000 0.000  0.26
Tb 0.148 0.000 0.705  0.06
Tm 0.714 0.500 0.572  -0.01
Tm 0.286 0.500 0.428  -0.01
Tl 0.573 0.500 0.854  0.00
Tl 0.427 0.500 0.146  0.00

Of them, the most stable is run 1 and the least stable is run 2.

Run 1
A geometry-optimized Tb2Tm3Tl4 structure. Source: Alexandria via LeMat-Bulk, functional PBE-GGA.

Values from the calculation:
D(E_F) (states/eV/cell): 12.24
SG: No. 64

Lattice parameters (Å, degrees): 7.093 9.136 8.812 90.00 113.73 90.00
Sites, in units of the cell vectors:
Tb 0.111 0.573 0.222
Tb 0.889 0.427 0.778
Tb 0.389 0.073 0.778
Tb 0.611 0.927 0.222
Tm 0.000 0.000 0.000
Tm 0.500 0.500 0.000
Tm 0.538 0.750 0.577
Tm 0.962 0.250 0.423
Tm 0.462 0.250 0.423
Tm 0.038 0.750 0.577
Tl 0.726 0.750 0.952
Tl 0.774 0.250 0.048
Tl 0.274 0.250 0.048
Tl 0.226 0.750 0.952
Tl 0.189 0.958 0.377
Tl 0.811 0.042 0.623
Tl 0.311 0.458 0.623
Tl 0.689 0.542 0.377

Run 2
A geometry-optimized Tb2Tm3Tl4 structure. Source: Alexandria via LeMat-Bulk, functional PBE-GGA.

Values from the calculation:
D(E_F) (states/eV/cell): 7.14
SG: No. 12

Lattice parameters (Å, degrees): 5.233 5.230 10.506 90.06 90.01 59.97
Sites, in units of the cell vectors:
Tb 0.333 0.333 0.775
Tb 0.667 0.667 0.225
Tm 0.333 0.333 0.427
Tm 0.000 0.000 0.000
Tm 0.667 0.667 0.573
Tl 0.667 0.667 0.896
Tl 0.000 0.000 0.346
Tl 0.000 0.000 0.654
Tl 0.333 0.333 0.104

Of them, the most stable is run 2 and the least stable is run 1.

Run 1
A geometry-optimized Tb4TmTl2 structure. Source: Alexandria via LeMat-Bulk, functional PBE-GGA.

Values from the calculation:
D(E_F) (states/eV/cell): 8.58
SG: No. 69

Lattice parameters (Å, degrees): 6.065 6.065 8.022 121.36 121.39 67.84
Sites, in units of the cell vectors:
Tb 0.750 0.250 0.500
Tb 0.250 0.750 0.500
Tb 0.500 0.000 0.000
Tb 0.000 0.500 0.000
Tm 0.000 0.000 0.000
Tl 0.631 0.631 0.262
Tl 0.369 0.369 0.738

Run 2
A geometry-optimized Tb4TmTl2 structure. Source: Alexandria via LeMat-Bulk, functional PBE-GGA.

Values from the calculation:
D(E_F) (states/eV/cell): 11.87
SG: No. 166

Lattice parameters (Å, degrees): 5.488 5.488 9.334 72.91 72.91 60.00
Sites, in units of the cell vectors:
Tb 0.736 0.736 0.793
Tb 0.869 0.869 0.394
Tb 0.264 0.264 0.207
Tb 0.131 0.131 0.606
Tm 0.500 0.500 0.500
Tl 0.617 0.617 0.149
Tl 0.383 0.383 0.851

Of them, the most stable is run 2 and the least stable is run 1.

Run 1
A geometry-optimized TbTm3Tl4 structure. Source: Alexandria via LeMat-Bulk, functional PBE-GGA.

Values from the calculation:
D(E_F) (states/eV/cell): 6.41
SG: No. 71

Lattice parameters (Å, degrees): 3.492 7.136 10.024 110.84 100.03 90.00
Each line ends with the local moment (μB).
Sites, in units of the cell vectors:
Tb 0.500 0.000 0.000  0.11
Tm 0.000 0.500 0.000  0.00
Tm 0.221 0.221 0.441  0.00
Tm 0.779 0.779 0.559  0.00
Tl 0.372 0.589 0.745  0.00
Tl 0.628 0.411 0.255  0.00
Tl 0.628 0.844 0.255  0.00
Tl 0.372 0.156 0.745  0.00

Run 2
A geometry-optimized TbTm3Tl4 structure. Source: Alexandria via LeMat-Bulk, functional PBE-GGA.

Values from the calculation:
D(E_F) (states/eV/cell): 12.14
SG: No. 51

Lattice parameters (Å, degrees): 5.365 7.446 10.725 90.00 90.00 90.00
Sites, in units of the cell vectors:
Tl 0.500 0.753 0.000
Tl 0.500 0.753 0.500
Tl 0.500 0.247 0.000
Tl 0.500 0.247 0.500
Tl 0.001 0.753 0.750
Tl 0.999 0.753 0.250
Tl 0.999 0.247 0.250
Tl 0.001 0.247 0.750
Tm 0.000 0.000 0.000
Tm 0.000 0.000 0.500
Tm 0.501 0.000 0.750
Tm 0.499 0.000 0.250
Tm 0.501 0.500 0.750
Tm 0.499 0.500 0.250
Tb 0.000 0.500 0.000
Tb 0.000 0.500 0.500

Of them, the most stable is run 2 and the least stable is run 1.

Run 1
A geometry-optimized Tb2Tm2Tl structure. Source: Alexandria via LeMat-Bulk, functional PBE-GGA.

Values from the calculation:
D(E_F) (states/eV/cell): 12.01
SG: No. 12

Lattice parameters (Å, degrees): 8.266 6.367 8.710 70.95 59.82 49.52
Sites, in units of the cell vectors:
Tb 0.659 0.368 0.717
Tb 0.341 0.632 0.283
Tb 0.028 0.632 0.717
Tb 0.972 0.368 0.283
Tm 0.736 0.000 0.422
Tm 0.603 0.000 0.120
Tm 0.397 0.000 0.880
Tm 0.264 0.000 0.578
Tl 0.163 0.674 0.000
Tl 0.837 0.326 0.000

Run 2
A geometry-optimized Tb2Tm2Tl structure. Source: Alexandria via LeMat-Bulk, functional PBE-GGA.

Values from the calculation:
D(E_F) (states/eV/cell): 10.99
SG: No. 127

Lattice parameters (Å, degrees): 4.622 8.183 8.183 90.00 90.00 90.00
Sites, in units of the cell vectors:
Tb 0.000 0.351 0.851
Tb 0.000 0.851 0.649
Tb 0.000 0.649 0.149
Tb 0.000 0.149 0.351
Tm 0.500 0.150 0.650
Tm 0.500 0.650 0.850
Tm 0.500 0.850 0.350
Tm 0.500 0.350 0.150
Tl 0.000 0.000 0.000
Tl 0.000 0.500 0.500

Of them, the most stable is run 1 and the least stable is run 2.

Run 1
A geometry-optimized TbTm2Tl4 structure. Source: Alexandria via LeMat-Bulk, functional PBE-GGA.

Values from the calculation:
D(E_F) (states/eV/cell): 6.49
SG: No. 6

Lattice parameters (Å, degrees): 3.476 5.925 10.794 110.03 90.00 90.00
Sites, in units of the cell vectors:
Tb 0.000 0.072 0.072
Tm 0.500 0.380 0.662
Tm 0.500 0.761 0.481
Tl 0.500 0.951 0.792
Tl 0.000 0.654 0.222
Tl 0.500 0.191 0.351
Tl 0.000 0.490 0.921

Run 2
A geometry-optimized TbTm2Tl4 structure. Source: Alexandria via LeMat-Bulk, functional PBE-GGA.

Values from the calculation:
D(E_F) (states/eV/cell): 5.79
SG: No. 139

Lattice parameters (Å, degrees): 6.444 6.444 6.444 110.40 109.01 109.01
Sites, in units of the cell vectors:
Tb 0.000 0.000 0.000
Tm 0.500 0.500 0.000
Tm 0.500 0.000 0.500
Tl 0.500 0.000 0.000
Tl 0.500 0.500 0.500
Tl 0.000 0.000 0.500
Tl 0.000 0.500 0.000

Of them, the most stable is run 2 and the least stable is run 1.

Run 1
A geometry-optimized Tb4TmTl structure. Source: Alexandria via LeMat-Bulk, functional PBE-GGA.

Values from the calculation:
D(E_F) (states/eV/cell): 14.52
SG: No. 15

Lattice parameters (Å, degrees): 6.451 8.996 8.269 112.68 99.75 113.95
Sites, in units of the cell vectors:
Tb 0.043 0.162 0.752
Tb 0.754 0.713 0.619
Tb 0.208 0.589 0.752
Tb 0.365 0.905 0.619
Tb 0.635 0.095 0.381
Tb 0.792 0.411 0.248
Tb 0.246 0.287 0.381
Tb 0.957 0.838 0.248
Tm 0.340 0.590 0.179
Tm 0.660 0.410 0.821
Tl 0.250 0.000 0.000
Tl 0.750 0.000 0.000

Run 2
A geometry-optimized Tb4TmTl structure. Source: Alexandria via LeMat-Bulk, functional PBE-GGA.

Values from the calculation:
D(E_F) (states/eV/cell): 7.28
SG: No. 123

Lattice parameters (Å, degrees): 3.583 3.583 14.264 90.00 90.00 90.00
Sites, in units of the cell vectors:
Tb 0.500 0.500 0.173
Tb 0.000 0.000 0.651
Tb 0.000 0.000 0.349
Tb 0.500 0.500 0.827
Tm 0.000 0.000 0.000
Tl 0.500 0.500 0.500

Of them, the most stable is run 2 and the least stable is run 1.

Run 1
A geometry-optimized TbYTmTl structure. Source: Alexandria via LeMat-Bulk, functional PBE-GGA.

Values from the calculation:
D(E_F) (states/eV/cell): 5.51
SG: No. 216

Lattice parameters (Å, degrees): 5.458 5.458 5.458 60.00 60.00 60.00
Each line ends with the local moment (μB).
Sites, in units of the cell vectors:
Y 0.750 0.750 0.750  0.25
Tl 0.000 0.000 0.000  0.00
Tm 0.500 0.500 0.500  0.39
Tb 0.250 0.250 0.250  0.30

Run 2
A geometry-optimized TbYTmTl structure. Source: Alexandria via LeMat-Bulk, functional PBE-GGA.

Values from the calculation:
D(E_F) (states/eV/cell): 4.69
SG: No. 47

Lattice parameters (Å, degrees): 4.846 4.864 4.820 90.00 90.00 90.00
Each line ends with the local moment (μB).
Sites, in units of the cell vectors:
Tb 0.000 0.500 0.500  0.24
Y 0.000 0.000 0.000  0.20
Tm 0.500 0.500 0.000  0.26
Tl 0.500 0.000 0.500  -0.01

Of them, the most stable is run 2 and the least stable is run 1.